Entry from Alexandria: Mg2NbSiTc after structural relaxation (PBE-GGA).

The energy relative to the elements, uncorrected is 4.4 eV/f.u. Its energy is -4.9197 eV per atom. The calculation puts the calculated volume at 20.5 Å³/atom. Its density of states at the Fermi level is 5.1 states/eV per cell.

The structure belongs to space group P4/mmm (No. 123); the cell edges are 4.771, 4.771 and 4.492 Å and the angles 90.00°, 90.00° and 90.00°. The distinct sites, in fractional coordinates, are Mg at (0.000, 0.500, 0.000), Nb at (0.000, 0.000, 0.500), Si at (0.500, 0.500, 0.500) and Tc at (0.500, 0.500, 0.000).